1.
The following is a PBE calculation of a geometry-optimized CaCeAu structure, from Alexandria via LeMat-Bulk.

Cell and atoms, written as POSCAR:
```
CaCeAu
1.0
3.912 0.000 0.000
0.000 5.005 0.000
0.000 -2.503 4.334
Ca Au Ce
1 1 1
Cartesian
2.322 2.503 1.445
1.372 0.000 2.890
0.218 0.000 0.000
```

2.
The following is a PBE calculation of a geometry-optimized CaCeAu17 structure, from Alexandria via LeMat-Bulk.

Cell and atoms, written as POSCAR:
```
CaCeAu17
1.0
7.283 0.057 0.923
0.821 7.237 0.923
0.064 0.057 7.341
Ca Ce Au
1 1 17
Cartesian
2.755 2.480 3.099
5.456 4.911 6.138
2.276 0.058 5.368
5.297 2.258 0.923
0.588 5.030 2.890
2.801 5.030 0.923
0.296 2.258 5.368
5.064 0.058 2.890
3.283 6.126 3.693
2.914 2.623 6.825
6.437 2.623 3.693
4.889 1.222 5.499
5.259 4.734 2.361
1.728 4.734 5.499
7.755 3.723 8.723
8.134 7.321 5.506
4.515 7.321 8.723
7.327 6.595 8.242
0.817 0.736 0.919
```

3.
The following is a PBE calculation of a geometry-optimized CaCeAu2 structure, from Alexandria via LeMat-Bulk.

Cell and atoms, written as POSCAR:
```
CaCeAu2
1.0
-2.957 -1.157 -1.711
2.593 -4.244 -1.612
-1.496 -2.551 4.311
Ca Au Ce
1 2 1
Cartesian
-1.478 -0.578 -0.855
-0.748 -1.276 2.155
1.297 -2.122 -0.806
-0.930 -3.976 0.494
```

4.
The following is a PBE calculation of a geometry-optimized CaCeAu2 structure, from Alexandria via LeMat-Bulk.

Cell and atoms, written as POSCAR:
```
CaCeAu2
1.0
5.207 -0.257 0.388
0.102 5.864 2.383
-0.498 -0.377 6.300
Ca Ce Au
2 2 4
Cartesian
3.559 4.661 7.972
1.253 0.569 1.099
3.777 1.847 3.522
1.035 3.383 5.549
1.320 3.439 2.398
3.774 4.729 4.829
3.492 1.791 6.673
1.038 0.502 4.242
```

5.
The following is a PBE calculation of a geometry-optimized Ca2CeAu3 structure, from Alexandria via LeMat-Bulk.

Cell and atoms, written as POSCAR:
```
Ca2CeAu3
1.0
-3.934 -0.134 -3.386
3.166 -4.089 0.465
-7.531 -4.816 8.940
Ca Ce Au
4 2 6
Cartesian
-3.765 -2.408 4.470
-0.414 -3.547 0.622
-7.884 -5.492 5.396
0.000 0.000 0.000
-4.215 -5.977 5.134
-4.083 -3.061 0.884
-2.303 -4.755 2.864
-2.240 -1.883 -1.304
-5.624 -3.597 6.676
-1.907 -1.219 2.263
-6.058 -7.156 7.322
-5.995 -4.284 3.154
```

6.
The following is a PBE calculation of a geometry-optimized CaCe2Au structure, from Alexandria via LeMat-Bulk.

Cell and atoms, written as POSCAR:
```
CaCe2Au
1.0
-0.089 0.034 -3.534
1.652 -2.530 -1.834
-9.030 -7.198 -1.611
Ca Au Ce
1 1 2
Cartesian
0.000 0.000 0.000
-3.733 -4.847 -3.489
-6.162 -5.287 -1.664
-1.305 -4.408 -5.314
```

The spin magnetization results, record by record, are as follows: 1.28, 1.04, 1.00, 1.95, 1.91, 2.64 Bohr magnetons per cell.
The final energy results, record by record, are as follows: -3.9335, -3.5843, -4.3238, -4.3255, -4.0285, -4.2576 eV per atom.